GeSbTe2Cl: relaxed, PBE.

- volume (Å³ per cell) = 157
- D(E_F) (states/eV per cell) = 4.875
- formation energy (no corrections) (eV per atom) = 0.807
- E_tot (eV/atom) = -2.57

Cell lengths 5.5043, 5.5043, 5.1804 Å; angles 90.00, 90.00, 90.00 degrees
Sites, in units of the cell vectors:
Ge: 0.0000 0.0000 0.0000
Sb: 0.5000 0.5000 0.0000
Te: 0.0000 0.5000 0.5000
Te: 0.5000 0.0000 0.5000
Cl: 0.5000 0.5000 0.5000

=====

GeSb2TeCl: relaxed, PBE.

- volume (Å³ per cell) = 158
- D(E_F) (states/eV per cell) = 4.997
- formation energy (no corrections) (eV per atom) = 0.498
- E_tot (eV/atom) = -3.07

Cell lengths 5.4209, 5.4209, 5.3630 Å; angles 90.00, 90.00, 90.00 degrees
Sites, in units of the cell vectors:
Ge: 0.0000 0.0000 0.0000
Sb: 0.0000 0.5000 0.0000
Sb: 0.5000 0.0000 0.0000
Te: 0.0000 0.0000 0.5000
Cl: 0.5000 0.5000 0.5000

=====

GeSbTe2Cl: relaxed, PBE.

- volume (Å³ per cell) = 159
- D(E_F) (states/eV per cell) = 5.153
- formation energy (no corrections) (eV per atom) = 0.469
- E_tot (eV/atom) = -2.91

Cell lengths 5.3670, 5.3670, 5.5146 Å; angles 90.00, 90.00, 90.00 degrees
Sites, in units of the cell vectors:
Ge: 0.0000 0.0000 0.0000
Sb: 0.0000 0.0000 0.5000
Te: 0.0000 0.5000 0.0000
Te: 0.5000 0.0000 0.0000
Cl: 0.5000 0.5000 0.5000

=====

GeSb2TeCl: relaxed, PBE.

- volume (Å³ per cell) = 154
- D(E_F) (states/eV per cell) = 3.227
- formation energy (no corrections) (eV per atom) = 0.820
- E_tot (eV/atom) = -2.75

Cell lengths 5.2617, 5.2617, 5.5674 Å; angles 90.00, 90.00, 90.00 degrees
Sites, in units of the cell vectors:
Ge: 0.0000 0.0000 0.0000
Sb: 0.0000 0.5000 0.5000
Sb: 0.5000 0.0000 0.5000
Te: 0.5000 0.5000 0.0000
Cl: 0.5000 0.5000 0.5000

=====

TlGe2SbCl8: relaxed, PBE.

- volume (Å³ per cell) = 404
- D(E_F) (states/eV per cell) = 0.000
- formation energy (no corrections) (eV per atom) = -0.836
- E_tot (eV/atom) = -3.38

Cell lengths 6.3924, 6.9970, 9.0790 Å; angles 92.72, 91.11, 94.92 degrees
Sites, in units of the cell vectors:
Tl: 0.0000 0.0000 0.0000
Ge: 0.4549 0.5595 0.2726
Ge: 0.5451 0.4405 0.7274
Sb: 0.0000 0.0000 0.5000
Cl: 0.2072 0.1973 0.3004
Cl: 0.2366 0.6954 0.4602
Cl: 0.2750 0.1341 0.7174
Cl: 0.2794 0.6457 0.0676
Cl: 0.7206 0.3543 0.9324
Cl: 0.7250 0.8659 0.2826
Cl: 0.7634 0.3046 0.5398
Cl: 0.7928 0.8027 0.6996

=====

ScGe3Cl: relaxed, PBE.

- volume (Å³ per cell) = 117
- D(E_F) (states/eV per cell) = 4.175
- formation energy (no corrections) (eV per atom) = 0.478
- E_tot (eV/atom) = -3.93

Cell lengths 4.8962, 4.8962, 4.8962 Å; angles 90.00, 90.00, 90.00 degrees
Sites, in units of the cell vectors:
Sc: 0.0000 0.0000 0.0000
Ge: 0.0000 0.5000 0.5000
Ge: 0.5000 0.0000 0.5000
Ge: 0.5000 0.5000 0.0000
Cl: 0.5000 0.5000 0.5000